The following is a DFT calculation (PBE) of an optimized crystal structure of PaPt6Au.

The density is 19.27 g/cm³. Its density of states at the Fermi level is 0.69 states/eV per atom. The volume comes out at 137.72 Å³/cell. The value obtained for the raw total energy is -6.715 eV per atom. The formation enthalpy at 0 K comes out at -4.70 eV/f.u.

The space group is P4/mmm (No. 123) and the conventional cell measures 5.7663, 5.7663 and 4.1418 Å, with angles of 90.00, 90.00 and 90.00 degrees. The inequivalent atoms are Pa at (0.0000, 0.0000, 0.0000), Pt at (0.0000, 0.5000, 0.0000), Pt at (0.2481, 0.2481, 0.5000) and Au at (0.5000, 0.5000, 0.0000).

The following is a DFT calculation (PBE) of an optimized crystal structure of MgZrSc2.

The density is 3.57 g/cm³. Its density of states at the Fermi level is 1.42 states/eV per atom. The volume comes out at 286.40 Å³/cell. The value obtained for the raw total energy is -5.691 eV per atom. The formation enthalpy at 0 K comes out at 0.04 eV/f.u.

The space group is R3m (No. 160, hexagonal axes) and the conventional cell measures 3.2300, 3.2300 and 31.6992 Å, with angles of 90.00, 90.00 and 120.00 degrees. The inequivalent atoms are Mg at (0.0000, 0.0000, 0.0000), Zr at (0.0000, 0.0000, 0.1663), Sc at (0.0000, 0.0000, 0.5800) and Sc at (0.0000, 0.0000, 0.7527).

The following is a DFT calculation (PBE) of an optimized crystal structure of PmCu3Ni.

The density is 8.29 g/cm³. Its density of states at the Fermi level is 0.75 states/eV per atom. The volume comes out at 315.89 Å³/cell. The value obtained for the raw total energy is -4.700 eV per atom. The formation enthalpy at 0 K comes out at -0.68 eV/f.u. The energy above the most stable polymorph in this dataset is 0.0 meV/atom.

The space group is Cmcm (No. 63) and the conventional cell measures 5.4748, 11.8027 and 4.8887 Å, with angles of 90.00, 90.00 and 90.00 degrees. The inequivalent atoms are Pm at (0.0000, 0.1082, 0.2500), Cu at (0.0000, 0.3119, 0.7500), Cu at (0.2247, 0.3513, 0.2500) and Ni at (0.0000, 0.5000, 0.0000).

Which formula does entry 2 have? MgZrSc2